The following is a DFT calculation (PBE) of Ac2Ga4HgPt3 after structural relaxation.

Cell and atoms, written as POSCAR:
```
Ac2Ga4HgPt3
1.0
4.502 0.000 0.000
0.000 4.502 0.000
0.000 0.000 10.625
Ac Ga Hg Pt
2 4 1 3
direct
0.000 0.500 0.241 Ac
0.500 0.000 0.759 Ac
0.000 0.000 0.000 Ga
0.000 0.500 0.638 Ga
0.500 0.000 0.362 Ga
0.500 0.500 0.000 Ga
0.000 0.000 0.500 Hg
0.000 0.500 0.876 Pt
0.500 0.000 0.124 Pt
0.500 0.500 0.500 Pt
```

Results
The formation energy from the elements is -824.1 meV per atom. The calculation puts the magnetic moment at 0.0 μB/cell.


The following is a DFT calculation (PBE) of Ac2Ga3HgRh4 after structural relaxation.

Cell and atoms, written as POSCAR:
```
Ac2Ga3HgRh4
1.0
4.417 0.000 0.000
0.000 4.417 0.000
0.000 0.000 10.617
Ac Ga Hg Rh
2 3 1 4
direct
0.000 0.500 0.239 Ac
0.500 0.000 0.761 Ac
0.000 0.500 0.886 Ga
0.500 0.000 0.114 Ga
0.500 0.500 0.500 Ga
0.000 0.000 0.500 Hg
0.000 0.000 0.000 Rh
0.000 0.500 0.650 Rh
0.500 0.000 0.350 Rh
0.500 0.500 0.000 Rh
```

Results
The formation energy from the elements is -680.4 meV per atom. The calculation puts the magnetic moment at 0.0 μB/cell.


The following is a DFT calculation (PBE) of AcScGaHg after structural relaxation.

Cell and atoms, written as POSCAR:
```
AcScGaHg
1.0
7.538 0.000 0.000
0.000 7.538 0.000
0.000 0.000 7.538
Ac Sc Ga Hg
4 4 4 4
direct
0.000 0.000 0.000 Ac
0.000 0.500 0.500 Ac
0.500 0.000 0.500 Ac
0.500 0.500 0.000 Ac
0.000 0.000 0.500 Sc
0.000 0.500 0.000 Sc
0.500 0.000 0.000 Sc
0.500 0.500 0.500 Sc
0.250 0.250 0.250 Ga
0.250 0.750 0.750 Ga
0.750 0.250 0.750 Ga
0.750 0.750 0.250 Ga
0.250 0.250 0.750 Hg
0.250 0.750 0.250 Hg
0.750 0.250 0.250 Hg
0.750 0.750 0.750 Hg
```

Results
The formation energy from the elements is -369.6 meV per atom. The calculation puts the magnetic moment at 0.3 μB/cell.


The following is a DFT calculation (PBE) of AcGaSnHg after structural relaxation.

Cell and atoms, written as POSCAR:
```
AcGaSnHg
1.0
7.606 0.000 0.000
0.000 7.606 0.000
0.000 0.000 7.606
Ac Ga Sn Hg
4 4 4 4
direct
0.000 0.000 0.000 Ac
0.000 0.500 0.500 Ac
0.500 0.000 0.500 Ac
0.500 0.500 0.000 Ac
0.250 0.250 0.250 Ga
0.250 0.750 0.750 Ga
0.750 0.250 0.750 Ga
0.750 0.750 0.250 Ga
0.000 0.000 0.500 Sn
0.000 0.500 0.000 Sn
0.500 0.000 0.000 Sn
0.500 0.500 0.500 Sn
0.250 0.250 0.750 Hg
0.250 0.750 0.250 Hg
0.750 0.250 0.250 Hg
0.750 0.750 0.750 Hg
```

Results
The formation energy from the elements is -376.6 meV per atom. The calculation puts the magnetic moment at 0.0 μB/cell.


Q: What is the magnetic moment in the fourth record?
A: 0.0 μB/cell


What did the second record say?
The following is a DFT calculation (PBE) of Ac2Ga3HgRh4 after structural relaxation.

Cell and atoms, written as POSCAR:
```
Ac2Ga3HgRh4
1.0
4.417 0.000 0.000
0.000 4.417 0.000
0.000 0.000 10.617
Ac Ga Hg Rh
2 3 1 4
direct
0.000 0.500 0.239 Ac
0.500 0.000 0.761 Ac
0.000 0.500 0.886 Ga
0.500 0.000 0.114 Ga
0.500 0.500 0.500 Ga
0.000 0.000 0.500 Hg
0.000 0.000 0.000 Rh
0.000 0.500 0.650 Rh
0.500 0.000 0.350 Rh
0.500 0.500 0.000 Rh
```

Results
The formation energy from the elements is -680.4 meV per atom. The calculation puts the magnetic moment at 0.0 μB/cell.